Compound: ErSc2I
Source: Alexandria
Functional: PBE-GGA
Structure: optimized geometry

Calculated values
Calculated volume, Å³/cell: 110.2
Magnetization, μB per formula unit: 0.54
Uncorrected energy, eV/atom: -4.915

Cell lengths 3.596, 3.596, 10.060 Å; angles 79.70, 79.70, 60.00 degrees
Fractional coordinates of all 4 atoms:
I 0.000 0.000 0.000
Sc 0.745 0.745 0.765
Sc 0.255 0.255 0.235
Er 0.500 0.500 0.500

Compound: SrLiTlPd
Source: Alexandria
Functional: PBE-GGA
Structure: optimized geometry

Calculated values
Energy relative to the lowest polymorph listed for this composition, eV per atom: 0.076
Calculated volume, Å³/cell: 92.2
DFT formation energy, eV/atom: -0.332
Magnetization, μB per formula unit: 0.00

Cell lengths 5.071, 5.071, 5.071 Å; angles 60.00, 60.00, 60.00 degrees
Fractional coordinates of all 4 atoms:
Tl 0.750 0.750 0.750
Li 0.500 0.500 0.500
Pd 0.000 0.000 0.000
Sr 0.250 0.250 0.250

no.,calculated density (g cm⁻³)
1,5.785
2,7.302